(1)
CuSnCl: relaxed, PBE-GGA.

Calculated values
- SG = Ama2, No. 40
- E_form (uncorrected) (eV per atom) = -0.282
- size of the total moment (μB/f.u.) = 0.00

Lattice parameters (Å, degrees): 4.9516 6.1021 6.1021 51.03 90.00 90.00
With the nearest neighbours (Å) after each atom.
Atoms (fractional coordinates):
Cu (0.2500, 0.1513, 0.8487)  1 Cl 2.34, 1 Sn 2.60
Cu (0.7500, 0.8487, 0.1513)  1 Cl 2.34, 1 Sn 2.60
Sn (0.2500, 0.6104, 0.2571)  1 Cl 2.55, 3 Cu 2.60-2.73
Sn (0.7500, 0.2571, 0.6104)  1 Cl 2.55, 3 Cu 2.60-2.73
Cl (0.2500, 0.4632, 0.9487)  1 Cu 2.34, 1 Sn 2.55
Cl (0.7500, 0.9487, 0.4632)  1 Cu 2.34, 1 Sn 2.55

***

(2)
Tl3Cu2SnCl8: relaxed, PBE-GGA.

Calculated values
- SG = P-3m1, No. 164
- E_form (uncorrected) (eV per atom) = -0.811
- size of the total moment (μB/f.u.) = 0.00

Lattice parameters (Å, degrees): 7.3134 7.3134 9.0927 90.00 90.00 120.00
With the nearest neighbours (Å) after each atom.
Atoms (fractional coordinates):
Tl (0.0000, 0.0000, 0.0000)  6 Cl 3.60
Tl (0.3333, 0.6667, 0.6326)  1 Cl 2.91
Tl (0.6667, 0.3333, 0.3674)  1 Cl 2.91
Cu (0.3333, 0.6667, 0.1933)  4 Cl 2.18-2.35
Cu (0.6667, 0.3333, 0.8067)  4 Cl 2.18-2.35
Sn (0.0000, 0.0000, 0.5000)  6 Cl 2.73
Cl (0.1705, 0.3411, 0.3166)  1 Cu 2.35
Cl (0.1705, 0.8295, 0.3166)  1 Cu 2.35
Cl (0.3333, 0.6667, 0.9530)  1 Cu 2.18
Cl (0.3411, 0.1705, 0.6834)  1 Cu 2.35
Cl (0.6589, 0.8295, 0.3166)  1 Cu 2.35
Cl (0.6667, 0.3333, 0.0470)  1 Cu 2.18
Cl (0.8295, 0.1705, 0.6834)  1 Cu 2.35
Cl (0.8295, 0.6589, 0.6834)  1 Cu 2.35

***

(3)
Tl2Cu2SnCl6: relaxed, PBE-GGA.

Calculated values
- SG = C2/m, No. 12
- E_form (uncorrected) (eV per atom) = -0.785
- size of the total moment (μB/f.u.) = 0.00

Lattice parameters (Å, degrees): 7.4698 7.4698 7.7377 116.68 116.68 60.51
With the nearest neighbours (Å) after each atom.
Atoms (fractional coordinates):
Tl (0.2312, 0.2312, 0.2002)  5 Cl 3.26-3.33
Tl (0.7688, 0.7688, 0.7998)  5 Cl 3.26-3.33
Cu (0.4543, 0.4543, 0.7969)  3 Cl 2.24-2.26
Cu (0.5457, 0.5457, 0.2031)  3 Cl 2.24-2.26
Sn (0.0000, 0.0000, 0.5000)  6 Cl 2.84-2.86
Cl (0.1948, 0.6880, 0.1865)  1 Cu 2.26
Cl (0.2515, 0.2515, 0.6400)  1 Cu 2.24
Cl (0.3120, 0.8052, 0.8135)  1 Cu 2.26
Cl (0.6880, 0.1948, 0.1865)  1 Cu 2.26
Cl (0.7485, 0.7485, 0.3600)  1 Cu 2.24
Cl (0.8052, 0.3120, 0.8135)  1 Cu 2.26

***

(4)
Tl2CuSnCl6: relaxed, PBE-GGA.

Calculated values
- SG = R-3m, No. 166
- E_form (uncorrected) (eV per atom) = -0.853
- size of the total moment (μB/f.u.) = 0.00

Lattice parameters (Å, degrees): 13.4060 13.4060 13.4060 31.17 31.17 31.17
With the nearest neighbours (Å) after each atom.
Atoms (fractional coordinates):
Tl (0.1088, 0.1088, 0.1088)  9 Cl 3.35-3.61
Tl (0.2799, 0.2799, 0.2799)  3 Cl 3.17
Tl (0.7201, 0.7201, 0.7201)  3 Cl 3.17
Tl (0.8912, 0.8912, 0.8912)  9 Cl 3.35-3.61
Cu (0.4131, 0.4131, 0.4131)  6 Cl 2.45-2.56
Cu (0.5869, 0.5869, 0.5869)  6 Cl 2.45-2.56
Sn (0.0000, 0.0000, 0.0000)  6 Cl 2.60
Sn (0.5000, 0.5000, 0.5000)  6 Cl 2.83
Cl (0.1216, 0.6122, 0.6122)  1 Cu 2.45
Cl (0.2081, 0.2081, 0.7047)  1 Cu 2.56, 1 Sn 2.60
Cl (0.2081, 0.7047, 0.2081)  1 Cu 2.56, 1 Sn 2.60
Cl (0.2953, 0.7919, 0.7919)  1 Cu 2.56, 1 Sn 2.60
Cl (0.3878, 0.3878, 0.8784)  1 Cu 2.45
Cl (0.3878, 0.8784, 0.3878)  1 Cu 2.45
Cl (0.6122, 0.1216, 0.6122)  1 Cu 2.45
Cl (0.6122, 0.6122, 0.1216)  1 Cu 2.45
Cl (0.7047, 0.2081, 0.2081)  1 Cu 2.56, 1 Sn 2.60
Cl (0.7919, 0.2953, 0.7919)  1 Cu 2.56, 1 Sn 2.60
Cl (0.7919, 0.7919, 0.2953)  1 Cu 2.56, 1 Sn 2.60
Cl (0.8784, 0.3878, 0.3878)  1 Cu 2.45